*a*
Below is a relaxed structure of Na3CoOs, with properties calculated at the PBE level.

Calculated values
The density of states at the Fermi level comes out at 2.8 states/eV/cell. As for the size of the total moment: 4.0 μB/cell.

Geometry as POSCAR:
```
Na3CoOs
1.0
5.165 0.000 0.000
0.000 5.165 0.000
0.000 0.000 5.165
Co Os Na
1 1 3
Direct
0.000 0.000 0.000
0.500 0.500 0.500
0.000 0.500 0.000
0.000 0.000 0.500
0.500 0.000 0.000
```

*b*
Below is a relaxed structure of Na3CoOs, with properties calculated at the PBE level.

Calculated values
The density of states at the Fermi level comes out at 5.7 states/eV/cell. As for the size of the total moment: 4.0 μB/cell.

Geometry as POSCAR:
```
Na3CoOs
1.0
-1.282 -1.685 5.186
-0.967 -5.173 -1.920
5.366 -1.334 0.893
Co Os Na
1 1 3
Direct
0.500 0.500 0.500
0.000 0.000 0.000
0.000 0.500 0.000
0.000 0.000 0.500
0.500 0.000 0.000
```

Energies, relative to the best one, in eV/atom: *a* 0.000; *b* 0.017.